Arrangement 1

## Sm3Y2Mg (PBE)

Data for crystalline Sm3Y2Mg at its relaxed geometry.

Cell: 17.4172 7.0736 6.1941 Å, 90.00 90.37 90.00°
Space group C2/c (No. 15)
One atom of each set of equivalent atoms:
Sm (0.0000, 0.1346, 0.2500) x4
Sm (0.1670, 0.3755, 0.0798) x8
Y (0.1663, 0.1236, 0.5877) x8
Mg (0.0000, 0.3671, 0.7500) x4

---

Arrangement 2

## Sm3Y2Mg (PBE)

Data for crystalline Sm3Y2Mg at its relaxed geometry.

Cell: 3.6335 3.6335 14.3930 Å, 90.00 90.00 90.00°
Space group P4/mmm (No. 123)
One atom of each set of equivalent atoms:
Sm (0.0000, 0.0000, 0.0000) x1
Sm (0.0000, 0.0000, 0.3489) x2
Y (0.5000, 0.5000, 0.1752) x2
Mg (0.5000, 0.5000, 0.5000) x1

---

Which of them is most stable, and which least? Most stable: arrangement 2; least stable: arrangement 1.

---

Arrangement 1

## SmYMg4 (PBE)

Data for crystalline SmYMg4 at its relaxed geometry.

Cell: 8.5812 8.5812 8.5812 Å, 90.00 90.00 90.00°
Space group F-43m (No. 216)
One atom of each set of equivalent atoms:
Sm (0.0000, 0.0000, 0.0000) x4
Y (0.2500, 0.2500, 0.2500) x4
Mg (0.1249, 0.1249, 0.6249) x16

---

Arrangement 2

## SmYMg4 (PBE)

Data for crystalline SmYMg4 at its relaxed geometry.

Cell: 13.6826 3.4814 6.8873 Å, 90.00 104.56 90.00°
Space group C2/m (No. 12)
One atom of each set of equivalent atoms:
Sm (0.0000, 0.0000, 0.0000) x2
Y (0.0000, 0.0000, 0.5000) x2
Mg (0.1754, 0.5000, 0.3405) x4
Mg (0.1772, 0.5000, 0.8357) x4

---

Which of them is most stable, and which least? Most stable: arrangement 1; least stable: arrangement 2.

---

Arrangement 1

## Sm2YMg4 (PBE)

Data for crystalline Sm2YMg4 at its relaxed geometry.

Cell: 5.5801 5.5801 16.2252 Å, 90.00 90.00 90.00°
Space group I4/mmm (No. 139)
One atom of each set of equivalent atoms:
Sm (0.0000, 0.0000, 0.1052) x4
Y (0.0000, 0.0000, 0.5000) x2
Mg (0.0000, 0.0000, 0.3127) x4
Mg (0.0000, 0.5000, 0.0000) x4

---

Arrangement 2

## Sm2YMg4 (PBE)

Data for crystalline Sm2YMg4 at its relaxed geometry.

Cell: 5.3709 5.3709 23.5496 Å, 90.00 90.00 120.00°
Space group R-3m (No. 166, hexagonal axes)
One atom of each set of equivalent atoms:
Sm (0.0000, 0.0000, 0.2144) x6
Y (0.0000, 0.0000, 0.5000) x3
Mg (0.0000, 0.0000, 0.0701) x6
Mg (0.0000, 0.0000, 0.3617) x6

---

Which of them is most stable, and which least? Most stable: arrangement 2; least stable: arrangement 1.